A plane-wave DFT calculation with PBE was carried out for Tb2Ho4In after structural relaxation.

a = 6.263 Å, b = 10.642 Å, c = 6.437 Å
α = 90.00°, β = 90.02°, γ = 90.00°
Space group P2_1/c (No. 14)
Unique sites:
Tb1 0.247 0.037 0.499
Ho1 0.068 0.156 0.999
Ho2 0.410 0.750 0.250
In1 0.500 0.000 0.000

## Properties
VASP energy (eV per cell): -61.1
Polymorph energy (0 for the lowest one) (meV/atom): 0
Formation energy (eV/atom): -0.0324



A plane-wave DFT calculation with PBE was carried out for LiVNi2Ru after structural relaxation.

a = 4.424 Å, b = 4.424 Å, c = 4.242 Å
α = 90.00°, β = 90.00°, γ = 90.00°
Space group P4/mmm (No. 123)
Unique sites:
Li1 0.000 0.000 0.000
V1 0.500 0.500 0.000
Ni1 0.000 0.500 0.500
Ru1 0.000 0.000 0.500

## Properties
VASP energy (eV per cell): -25.2
Formation energy (eV/atom): 1.3440



A plane-wave DFT calculation with PBE was carried out for La6Nd2Th after structural relaxation.

a = 3.6822 Å, b = 3.6822 Å, c = 27.7886 Å
α = 90.00°, β = 90.00°, γ = 120.00°
Space group P-6m2 (No. 187)
Unique sites:
La1 0.0000 0.0000 0.0618
La2 0.0000 0.0000 0.2804
La3 0.3333 0.6667 0.3940
Nd1 0.3333 0.6667 0.1694
Th1 0.0000 0.0000 0.5000

## Properties
VASP energy (eV per cell): -45.9
Formation energy (eV/atom): 0.0637



A plane-wave DFT calculation with PBE was carried out for KTeAu2 after structural relaxation.

a = 3.013 Å, b = 5.687 Å, c = 5.862 Å
α = 90.00°, β = 90.00°, γ = 90.00°
Space group Pmmm (No. 47)
Unique sites:
K1 0.000 0.000 0.000
Te1 0.500 0.000 0.500
Au1 0.000 0.500 0.500
Au2 0.500 0.500 0.000

## Properties
VASP energy (eV per cell): -10.8
ΔE_f (raw) (eV per atom): 0.00



A plane-wave DFT calculation with PBE was carried out for Ho11Tl9Zn4 after structural relaxation.

a = 14.652 Å, b = 22.050 Å, c = 3.766 Å
α = 90.00°, β = 90.00°, γ = 90.00°
Space group Cmmm (No. 65)
Unique sites:
Ho1 0.000 0.000 0.000
Ho2 0.000 0.164 0.000
Ho3 0.000 0.366 0.000
Ho4 0.203 0.500 0.000
Ho5 0.245 0.170 0.000
Tl1 0.000 0.500 0.500
Tl2 0.111 0.259 0.500
Tl3 0.139 0.076 0.500
Zn1 0.147 0.403 0.500

## Properties
VASP energy (eV per cell): -168.6
Formation energy (eV/atom): -0.3138



A plane-wave DFT calculation with PBE was carried out for PrHoSn after structural relaxation.

a = 9.843 Å, b = 12.455 Å, c = 14.559 Å
α = 90.00°, β = 90.00°, γ = 90.00°
Space group Fddd (No. 70, origin choice 2)
Unique sites:
Pr1 0.125 0.125 0.254
Ho1 0.000 0.000 0.500
Sn1 0.125 0.330 0.125

## Properties
VASP energy (eV per cell): -221.3
Polymorph energy (0 for the lowest one) (meV/atom): 460
Formation energy (eV/atom): -0.1566



A plane-wave DFT calculation with PBE was carried out for Ho5Bi4Pb after structural relaxation.

a = 9.963 Å, b = 9.963 Å, c = 6.301 Å
α = 90.00°, β = 90.00°, γ = 90.00°
Space group I4/m (No. 87)
Unique sites:
Ho1 0.000 0.000 0.000
Ho2 0.100 0.702 0.500
Bi1 0.099 0.699 0.000
Pb1 0.000 0.000 0.500

## Properties
VASP energy (eV per cell): -98.8
Polymorph energy (0 for the lowest one) (meV/atom): 2
Formation energy (eV/atom): -0.7303



A plane-wave DFT calculation with PBE was carried out for MnSnPS after structural relaxation.

a = 3.074 Å, b = 3.747 Å, c = 14.918 Å
α = 90.00°, β = 90.00°, γ = 90.00°
Space group Imm2 (No. 44)
Unique sites:
Mn1 0.000 0.000 0.000
Sn1 0.000 0.500 0.276
P1 0.000 0.000 0.160
S1 0.000 0.000 0.472

## Properties
VASP energy (eV per cell): -45.5
Polymorph energy (0 for the lowest one) (meV/atom): 250
ΔE_f (raw) (eV per atom): -0.01



A plane-wave DFT calculation with PBE was carried out for HoMgCo after structural relaxation.

a = 3.255 Å, b = 3.255 Å, c = 11.312 Å
α = 90.00°, β = 90.00°, γ = 90.00°
Space group I4mm (No. 107)
Unique sites:
Ho1 0.000 0.000 0.000
Mg1 0.000 0.000 0.731
Co1 0.000 0.000 0.363

## Properties
VASP energy (eV per cell): -26.8
Formation energy (eV/atom): -0.0405



A plane-wave DFT calculation with PBE was carried out for PuThSc after structural relaxation.

a = 3.4404 Å, b = 3.4404 Å, c = 8.1414 Å
α = 90.00°, β = 90.00°, γ = 120.00°
Space group P3m1 (No. 156)
Unique sites:
Pu1 0.0000 0.0000 0.0000
Th1 0.6667 0.3333 0.3342
Sc1 0.3333 0.6667 0.6685

## Properties
VASP energy (eV per cell): -27.7
Polymorph energy (0 for the lowest one) (meV/atom): 22
Formation energy (eV/atom): 0.1350



A plane-wave DFT calculation with PBE was carried out for Ho4Tm3Sc after structural relaxation.

a = 11.013 Å, b = 7.112 Å, c = 6.151 Å
α = 90.00°, β = 90.00°, γ = 90.00°
Space group Pmn2_1 (No. 31)
Unique sites:
Ho1 0.000 0.127 0.000
Ho2 0.000 0.873 0.495
Ho3 0.247 0.872 0.833
Tm1 0.000 0.377 0.497
Tm2 0.249 0.378 0.829
Sc1 0.000 0.623 0.997

## Properties
VASP energy (eV per cell): -76.0
Polymorph energy (0 for the lowest one) (meV/atom): 0
Formation energy (eV/atom): 0.0085



A plane-wave DFT calculation with PBE was carried out for SrLiP3 after structural relaxation.

a = 5.517 Å, b = 5.517 Å, c = 5.517 Å
α = 90.00°, β = 90.00°, γ = 90.00°
Space group Pm-3m (No. 221)
Unique sites:
Sr1 0.000 0.000 0.000
Li1 0.500 0.500 0.500
P1 0.000 0.000 0.500

## Properties
VASP energy (eV per cell): -15.0
Polymorph energy (0 for the lowest one) (meV/atom): 969
Formation energy (eV/atom): 0.9739